# 1
Crystalline Mo2PdCl at its relaxed geometry, computed with PBE-GGA.

## Properties
Relative energy among the computed polymorphs ... 0.536 eV/atom
E_form (uncorrected) ... 455.9 kJ/mol of formula units
Space group ... I-42d

abc: 5.413 5.413 6.830
angles: 66.65 66.65 90.00
Sites, in units of the cell vectors:
Mo 0.157 0.625 0.250
Mo 0.875 0.843 0.750
Mo 0.375 0.407 0.750
Mo 0.593 0.125 0.250
Pd 0.000 0.000 0.000
Pd 0.750 0.250 0.500
Cl 0.250 0.750 0.500
Cl 0.500 0.500 0.000

=====

# 2
Crystalline YAlHg2 at its relaxed geometry, computed with PBE-GGA.

## Properties
Space group ... P4/mmm
Formation enthalpy at 0 K ... -0.223 eV per atom

abc: 3.565 3.562 7.156
angles: 90.00 90.00 90.00
Sites, in units of the cell vectors:
Hg 0.000 0.000 0.975
Hg 0.000 0.000 0.525
Al 0.500 0.500 0.750
Y 0.500 0.500 0.250

=====

# 3
Crystalline PuThAl4 at its relaxed geometry, computed with PBE-GGA.

## Properties
Space group ... F-43m
Formation enthalpy at 0 K ... -0.405 eV per atom

abc: 5.591 5.591 5.591
angles: 60.00 60.00 60.00
Sites, in units of the cell vectors:
Th 0.000 0.000 0.000
Al 0.624 0.624 0.127
Al 0.624 0.127 0.624
Al 0.624 0.624 0.624
Al 0.127 0.624 0.624
Pu 0.250 0.250 0.250

=====

# 4
Crystalline Pu2UIr at its relaxed geometry, computed with PBE-GGA.

## Properties
Relative energy among the computed polymorphs ... 0.090 eV/atom
Space group ... P4/mmm
Formation enthalpy at 0 K ... -0.104 eV per atom

abc: 3.439 3.439 6.943
angles: 90.00 90.00 90.00
Sites, in units of the cell vectors:
Pu 0.000 0.000 0.767
Pu 0.000 0.000 0.233
U 0.500 0.500 0.500
Ir 0.500 0.500 0.000

=====

# 5
Crystalline FeRe3Cl at its relaxed geometry, computed with PBE-GGA.

## Properties
Relative energy among the computed polymorphs ... 0.000 eV/atom
E_form (uncorrected) ... 933.8 kJ/mol of formula units
Space group ... Pm-3m

abc: 4.288 4.288 4.288
angles: 90.00 90.00 90.00
Sites, in units of the cell vectors:
Cl 0.000 0.000 0.000
Re 0.000 0.500 0.000
Re 0.500 0.000 0.000
Re 0.000 0.000 0.500
Fe 0.500 0.500 0.500

=====

# 6
Crystalline CdS2O6F2 at its relaxed geometry, computed with PBE-GGA.

## Properties
E_form (uncorrected) ... -1579.6 kJ/mol of formula units
Space group ... P-3

abc: 5.372 5.372 7.051
angles: 90.00 90.00 120.00
Sites, in units of the cell vectors:
F 0.333 0.667 0.540
F 0.667 0.333 0.460
S 0.667 0.333 0.235
S 0.333 0.667 0.765
Cd 0.000 0.000 0.000
O 0.388 0.088 0.187
O 0.088 0.701 0.813
O 0.299 0.388 0.813
O 0.701 0.612 0.187
O 0.912 0.299 0.187
O 0.612 0.912 0.813

=====

# 7
Crystalline ScIBrO2 at its relaxed geometry, computed with PBE-GGA.

## Properties
Relative energy among the computed polymorphs ... 1.280 eV/atom
E_form (uncorrected) ... 99.6 kJ/mol of formula units
Space group ... P4/mmm

abc: 4.067 4.067 6.272
angles: 90.00 90.00 90.00
Sites, in units of the cell vectors:
Br 0.000 0.000 0.000
I 0.000 0.000 0.500
O 0.000 0.500 0.000
O 0.500 0.000 0.000
Sc 0.500 0.500 0.500

=====

For each record above, in turn, the calculated total energy values are -47.95; -11.70; -39.15; -49.23; -37.98; -59.03; -18.44 eV/cell.